Record 1
Here is IrSeBr3 after structural relaxation from Alexandria via LeMat-Bulk. Energies are from PBE-GGA. Values from VASP.

Calculated values
Fermi-level density of states, states/eV/cell: 5.78
Density, g cm⁻³: 6.478
Raw formation energy, meV/atom: 558

```
&SYSTEM
  ibrav = 0, nat = 5, ntyp = 3
/
ATOMIC_SPECIES
Ir 192.22 Ir.upf
Se 78.96 Se.upf
Br 79.90 Br.upf
CELL_PARAMETERS angstrom
5.078 0.000 0.000
0.000 5.078 0.000
0.000 0.000 5.078
ATOMIC_POSITIONS angstrom
Ir 0.000 0.000 0.000
Se 2.539 2.539 2.539
Br 0.000 0.000 2.539
Br 0.000 2.539 0.000
Br 2.539 0.000 0.000
```

Record 2
Here is Ir2SeBr after structural relaxation from Alexandria via LeMat-Bulk. Energies are from PBE-GGA. Values from VASP.

Calculated values
Fermi-level density of states, states/eV/cell: 3.45
Density, g cm⁻³: 13.161
Raw formation energy, meV/atom: 908

```
&SYSTEM
  ibrav = 0, nat = 4, ntyp = 3
/
ATOMIC_SPECIES
Ir 192.22 Ir.upf
Se 78.96 Se.upf
Br 79.90 Br.upf
CELL_PARAMETERS angstrom
2.898 -4.452 0.000
2.898 4.452 0.000
-1.332 0.000 2.656
ATOMIC_POSITIONS angstrom
Ir 1.449 2.226 0.000
Ir 1.449 -2.226 0.000
Se 0.000 0.000 0.000
Br 2.898 0.000 0.000
```

Record 3
Here is IrSeBr after structural relaxation from Alexandria via LeMat-Bulk. Energies are from PBE-GGA. Values from VASP.

Calculated values
Fermi-level density of states, states/eV/cell: 0.93
Density, g cm⁻³: 8.817
Raw formation energy, meV/atom: 351

```
&SYSTEM
  ibrav = 0, nat = 3, ntyp = 3
/
ATOMIC_SPECIES
Ir 192.22 Ir.upf
Se 78.96 Se.upf
Br 79.90 Br.upf
CELL_PARAMETERS angstrom
-1.580 1.580 6.619
1.580 -1.580 6.619
1.580 1.580 -6.619
ATOMIC_POSITIONS angstrom
Ir 0.000 0.000 0.000
Se 0.000 0.000 5.383
Br 0.000 0.000 8.672
```

Record 4
Here is Ir2SeBr after structural relaxation from Alexandria via LeMat-Bulk. Energies are from PBE-GGA. Values from VASP.

Calculated values
Fermi-level density of states, states/eV/cell: 3.56
Density, g cm⁻³: 12.675
Raw formation energy, meV/atom: 783

```
&SYSTEM
  ibrav = 0, nat = 4, ntyp = 3
/
ATOMIC_SPECIES
Ir 192.22 Ir.upf
Se 78.96 Se.upf
Br 79.90 Br.upf
CELL_PARAMETERS angstrom
-1.463 2.220 5.480
1.463 -2.220 5.480
1.463 2.220 -5.480
ATOMIC_POSITIONS angstrom
Ir 0.000 0.000 0.000
Ir 0.000 2.220 3.136
Se 1.463 0.000 2.280
Br 0.000 0.000 5.411
```

Record 5
Here is Ir2SeBr after structural relaxation from Alexandria via LeMat-Bulk. Energies are from PBE-GGA. Values from VASP.

Calculated values
Fermi-level density of states, states/eV/cell: 2.98
Density, g cm⁻³: 13.325
Raw formation energy, meV/atom: 1062

```
&SYSTEM
  ibrav = 0, nat = 4, ntyp = 3
/
ATOMIC_SPECIES
Ir 192.22 Ir.upf
Se 78.96 Se.upf
Br 79.90 Br.upf
CELL_PARAMETERS angstrom
-1.915 1.915 4.614
1.915 -1.915 4.614
1.915 1.915 -4.614
ATOMIC_POSITIONS angstrom
Ir 0.000 0.000 0.000
Ir 0.000 1.915 2.307
Se 1.915 0.000 2.307
Br 0.000 0.000 4.614
```

Record 6
Here is IrSeBr after structural relaxation from Alexandria via LeMat-Bulk. Energies are from PBE-GGA. Values from VASP.

Calculated values
Fermi-level density of states, states/eV/cell: 1.32
Density, g cm⁻³: 7.391
Raw formation energy, meV/atom: -260

```
&SYSTEM
  ibrav = 0, nat = 6, ntyp = 3
/
ATOMIC_SPECIES
Ir 192.22 Ir.upf
Se 78.96 Se.upf
Br 79.90 Br.upf
CELL_PARAMETERS angstrom
3.738 0.000 0.000
0.000 4.932 0.000
0.000 0.000 8.558
ATOMIC_POSITIONS angstrom
Ir 0.934 1.233 1.096
Ir 2.803 3.699 7.463
Se 0.934 3.699 0.508
Se 2.803 1.233 8.050
Br 0.934 3.699 5.696
Br 2.803 1.233 2.862
```